[1]
Below is a geometry-optimized KBiSbI2 structure, with properties calculated at the GGA-PBE level.

Values from the calculation:
Size of the total moment (μB per formula unit): 0.8
Calculated volume (Å³/atom): 48.54
Energy above the most stable polymorph in this dataset (meV per atom): 0
SG: No. 123

```
KBiSbI2
1.0
6.4275 0.0000 0.0000
0.0000 6.4275 0.0000
0.0000 0.0000 5.8749
I Sb K Bi
2 1 1 1
Direct
0.0000 0.5000 0.0000
0.5000 0.0000 0.0000
0.0000 0.0000 0.5000
0.5000 0.5000 0.5000
0.0000 0.0000 0.0000
```

[2]
Below is a geometry-optimized KBiSbI2 structure, with properties calculated at the GGA-PBE level.

Values from the calculation:
Size of the total moment (μB per formula unit): 0.9
Calculated volume (Å³/atom): 50.80
Energy above the most stable polymorph in this dataset (meV per atom): 747
SG: No. 123

```
KBiSbI2
1.0
6.2246 0.0000 0.0000
0.0000 6.2246 0.0000
0.0000 0.0000 6.5555
I Sb K Bi
2 1 1 1
Direct
0.0000 0.5000 0.0000
0.5000 0.0000 0.0000
0.0000 0.0000 0.5000
0.0000 0.0000 0.0000
0.5000 0.5000 0.5000
```

[3]
Below is a geometry-optimized KBiSb2I structure, with properties calculated at the GGA-PBE level.

Values from the calculation:
Size of the total moment (μB per formula unit): 1.0
Calculated volume (Å³/atom): 46.08
Energy above the most stable polymorph in this dataset (meV per atom): 0
SG: No. 123

```
KBiSb2I
1.0
-0.6969 5.6804 1.3190
-3.3391 -1.4777 4.5998
5.4373 -0.2321 3.8725
I Sb K Bi
1 2 1 1
Direct
0.0000 0.0000 0.5000
0.0000 0.5000 0.0000
0.5000 0.0000 0.0000
0.5000 0.5000 0.5000
0.0000 0.0000 0.0000
```

[4]
Below is a geometry-optimized KBiSb2I structure, with properties calculated at the GGA-PBE level.

Values from the calculation:
Size of the total moment (μB per formula unit): 0.8
Calculated volume (Å³/atom): 44.43
Energy above the most stable polymorph in this dataset (meV per atom): 839
SG: No. 123

```
KBiSb2I
1.0
-2.3448 5.1298 2.3845
-4.6168 -0.2438 -4.0155
-3.1623 -3.2267 3.8318
I Sb K Bi
1 2 1 1
Direct
0.0000 0.0000 0.5000
0.0000 0.5000 0.0000
0.5000 0.0000 0.0000
0.0000 0.0000 0.0000
0.5000 0.5000 0.5000
```

[5]
Below is a geometry-optimized KSnBiI6 structure, with properties calculated at the GGA-PBE level.

Values from the calculation:
Size of the total moment (μB per formula unit): 0.0
Calculated volume (Å³/atom): 49.24
Total energy (Ry per atom): -0.20034
SG: No. 149

```
KSnBiI6
1.0
-3.2041 -3.3074 6.6507
-0.9293 -8.0213 0.4838
7.1406 -0.6382 3.1233
K Sn Bi I
1 1 1 6
Direct
0.0000 0.0000 0.0000
0.6666 0.6667 0.5000
0.3333 0.3333 0.5000
0.0090 0.3619 0.2649
0.3619 0.0090 0.7351
0.6290 0.3620 0.7351
0.0089 0.6292 0.7351
0.3619 0.6291 0.2649
0.6291 0.0089 0.2649
```

[6]
Below is a geometry-optimized KBiTe2I structure, with properties calculated at the GGA-PBE level.

Values from the calculation:
Size of the total moment (μB per formula unit): 0.0
Calculated volume (Å³/atom): 45.43
Energy above the most stable polymorph in this dataset (meV per atom): 0
SG: No. 123

```
KBiTe2I
1.0
-2.2246 -4.0964 -3.7433
5.4518 -0.8617 -2.2969
1.0995 -4.5373 4.3118
I K Te Bi
1 1 2 1
Direct
0.0000 0.0000 0.5000
0.5000 0.5000 0.5000
0.0000 0.5000 0.0000
0.5000 0.0000 0.0000
0.0000 0.0000 0.0000
```

[7]
Below is a geometry-optimized KBiTe2I structure, with properties calculated at the GGA-PBE level.

Values from the calculation:
Size of the total moment (μB per formula unit): 0.0
Calculated volume (Å³/atom): 44.06
Energy above the most stable polymorph in this dataset (meV per atom): 952
SG: No. 123

```
KBiTe2I
1.0
-3.5937 -1.4040 -4.6842
3.7361 -4.5390 -1.5059
-3.1102 -3.7217 3.5016
I K Te Bi
1 1 2 1
Direct
0.0000 0.0000 0.5000
0.0000 0.0000 0.0000
0.0000 0.5000 0.0000
0.5000 0.0000 0.0000
0.5000 0.5000 0.5000
```

[8]
Below is a geometry-optimized KTl2BiI6 structure, with properties calculated at the GGA-PBE level.

Values from the calculation:
Size of the total moment (μB per formula unit): 0.0
Calculated volume (Å³/atom): 49.42
Total energy (Ry per atom): -0.19353
SG: No. 146

```
KTl2BiI6
1.0
-0.9759 -7.0861 -4.9347
-3.6292 -7.1551 3.3397
-8.3497 -2.2999 -2.6962
K Tl Bi I
1 2 1 6
Direct
0.8162 0.8163 0.5512
0.5231 0.5231 0.4305
0.0119 0.0119 0.9644
0.3262 0.3262 0.0215
0.5652 0.2142 0.2496
0.2143 0.9710 0.2496
0.9709 0.5653 0.2496
0.4174 0.6910 0.7663
0.6910 0.1253 0.7663
0.1253 0.4174 0.7662
```